[1]
PrHoCu | PBE | optimized geometry

Output
The calculated volume comes out at 338.6 Å³/cell. Its raw total energy is -4.392 eV/atom. As for the energy above the lowest structure with this stoichiometry: 202.8 meV per atom. Its crystal system is cubic. The calculated formation energy comes out at 0.092 eV per atom.

Structure (CIF):
```
data_PrHoCu
_chemical_formula_sum 'Pr4 Ho4 Cu4'
_cell_length_a 6.9699
_cell_length_b 6.9699
_cell_length_c 6.9699
_cell_angle_alpha 90.00
_cell_angle_beta 90.00
_cell_angle_gamma 90.00
_symmetry_space_group_name_H-M 'F -4 3 m'
_symmetry_Int_Tables_number 216
_symmetry_space_group_name_Hall 'F -4 2 3'
loop_
_atom_site_label
_atom_site_fract_x
_atom_site_fract_y
_atom_site_fract_z
Pr1 0.0000 0.0000 0.0000
Ho1 0.0000 0.0000 0.5000
Cu1 0.2500 0.2500 0.2500
```


[2]
Pr2HoCu4 | PBE | optimized geometry

Output
The calculated volume comes out at 644.2 Å³/cell. Its raw total energy is -4.347 eV/atom. Its crystal system is orthorhombic. The calculated formation energy comes out at 0.013 eV per atom.

Structure (CIF):
```
data_Pr2HoCu4
_chemical_formula_sum 'Pr8 Ho4 Cu16'
_cell_length_a 7.2943
_cell_length_b 7.3252
_cell_length_c 12.0560
_cell_angle_alpha 90.00
_cell_angle_beta 90.00
_cell_angle_gamma 90.00
_symmetry_space_group_name_H-M 'F m m m'
_symmetry_Int_Tables_number 69
_symmetry_space_group_name_Hall '-F 2 2'
loop_
_atom_site_label
_atom_site_fract_x
_atom_site_fract_y
_atom_site_fract_z
Pr1 0.0000 0.0000 0.2076
Ho1 0.0000 0.0000 0.5000
Cu1 0.2500 0.2500 0.1054
```


[3]
Pr2HoCu3 | PBE | optimized geometry

Output
The calculated volume comes out at 544.8 Å³/cell. Its raw total energy is -4.569 eV/atom. Its crystal system is orthorhombic. The calculated formation energy comes out at -0.164 eV per atom.

Structure (CIF):
```
data_Pr2HoCu3
_chemical_formula_sum 'Pr8 Ho4 Cu12'
_cell_length_a 5.0049
_cell_length_b 15.0989
_cell_length_c 7.2097
_cell_angle_alpha 90.00
_cell_angle_beta 90.00
_cell_angle_gamma 90.00
_symmetry_space_group_name_H-M 'C m m m'
_symmetry_Int_Tables_number 65
_symmetry_space_group_name_Hall '-C 2 2'
loop_
_atom_site_label
_atom_site_fract_x
_atom_site_fract_y
_atom_site_fract_z
Pr1 0.0000 0.0000 0.0000
Pr2 0.0000 0.0000 0.5000
Pr3 0.0000 0.3344 0.0000
Ho1 0.0000 0.3319 0.5000
Cu1 0.0000 0.1726 0.2706
Cu2 0.0000 0.5000 0.2641
```


[4]
PrHoCuRu | PBE | optimized geometry

Output
The calculated volume comes out at 179.1 Å³/cell. Its raw total energy is -5.908 eV/atom. As for the energy above the lowest structure with this stoichiometry: 0.0 meV per atom. Its crystal system is orthorhombic. The calculated formation energy comes out at -0.226 eV per atom.

Structure (CIF):
```
data_PrHoCuRu
_chemical_formula_sum 'Pr2 Ho2 Cu2 Ru2'
_cell_length_a 4.3065
_cell_length_b 3.8987
_cell_length_c 10.6666
_cell_angle_alpha 90.00
_cell_angle_beta 90.00
_cell_angle_gamma 90.00
_symmetry_space_group_name_H-M 'A m m 2'
_symmetry_Int_Tables_number 38
loop_
_symmetry_equiv_pos_as_xyz
'x,y,z'
'-x,-y,z'
'-x,y,z'
'x,-y,z'
'x,y+1/2,z+1/2'
'-x,-y+1/2,z+1/2'
'-x,y+1/2,z+1/2'
'x,-y+1/2,z+1/2'
loop_
_atom_site_label
_atom_site_fract_x
_atom_site_fract_y
_atom_site_fract_z
Pr1 0.0000 0.0000 0.0000
Ho1 0.5000 0.0000 0.7180
Cu1 0.5000 0.0000 0.4225
Ru1 0.0000 0.0000 0.2746
```


[5]
PrHoCuRu | PBE | optimized geometry

Output
The calculated volume comes out at 342.4 Å³/cell. Its raw total energy is -5.904 eV/atom. As for the energy above the lowest structure with this stoichiometry: 4.2 meV per atom. Its crystal system is cubic. The calculated formation energy comes out at -0.222 eV per atom.

Structure (CIF):
```
data_PrHoCuRu
_chemical_formula_sum 'Pr4 Ho4 Cu4 Ru4'
_cell_length_a 6.9959
_cell_length_b 6.9959
_cell_length_c 6.9959
_cell_angle_alpha 90.00
_cell_angle_beta 90.00
_cell_angle_gamma 90.00
_symmetry_space_group_name_H-M 'F -4 3 m'
_symmetry_Int_Tables_number 216
_symmetry_space_group_name_Hall 'F -4 2 3'
loop_
_atom_site_label
_atom_site_fract_x
_atom_site_fract_y
_atom_site_fract_z
Pr1 0.0000 0.0000 0.0000
Ho1 0.0000 0.0000 0.5000
Cu1 0.2500 0.2500 0.2500
Ru1 0.2500 0.2500 0.7500
```


[6]
Pr2HoCuS5 | PBE | optimized geometry

Output
The calculated volume comes out at 779.7 Å³/cell. Its raw total energy is -6.078 eV/atom. The calculation puts the formation energy without anion corrections at -1.759 eV per atom. Its crystal system is orthorhombic.

Structure (CIF):
```
data_Pr2HoCuS5
_chemical_formula_sum 'Pr8 Ho4 Cu4 S20'
_cell_length_a 3.9362
_cell_length_b 16.9350
_cell_length_c 11.6968
_cell_angle_alpha 90.00
_cell_angle_beta 90.00
_cell_angle_gamma 90.00
_symmetry_space_group_name_H-M 'C m c 21'
_symmetry_Int_Tables_number 36
loop_
_symmetry_equiv_pos_as_xyz
'x,y,z'
'-x,-y,z+1/2'
'-x,y,z'
'x,-y,z+1/2'
'x+1/2,y+1/2,z'
'-x+1/2,-y+1/2,z+1/2'
'-x+1/2,y+1/2,z'
'x+1/2,-y+1/2,z+1/2'
loop_
_atom_site_label
_atom_site_fract_x
_atom_site_fract_y
_atom_site_fract_z
Pr1 0.0000 0.1089 0.0000
Pr2 0.0000 0.1224 0.6246
Ho1 0.0000 0.1947 0.3238
Cu1 0.0000 0.4421 0.7676
S1 0.0000 0.0434 0.3712
S2 0.0000 0.2891 0.9851
S3 0.0000 0.3131 0.6639
S4 0.0000 0.3561 0.3155
S5 0.0000 0.4988 0.0925
```


[7]
PrHoCu2Se4 | PBE | optimized geometry

Output
The calculated volume comes out at 384.9 Å³/cell. Its raw total energy is -4.995 eV/atom. The calculation puts the formation energy without anion corrections at -1.059 eV per atom. Its crystal system is orthorhombic.

Structure (CIF):
```
data_PrHoCu2Se4
_chemical_formula_sum 'Pr2 Ho2 Cu4 Se8'
_cell_length_a 6.8125
_cell_length_b 7.0335
_cell_length_c 8.0321
_cell_angle_alpha 90.00
_cell_angle_beta 90.00
_cell_angle_gamma 90.00
_symmetry_space_group_name_H-M 'I 2 2 2'
_symmetry_Int_Tables_number 23
loop_
_symmetry_equiv_pos_as_xyz
'x,y,z'
'-x,-y,z'
'x,-y,-z'
'-x,y,-z'
'x+1/2,y+1/2,z+1/2'
'-x+1/2,-y+1/2,z+1/2'
'x+1/2,-y+1/2,-z+1/2'
'-x+1/2,y+1/2,-z+1/2'
loop_
_atom_site_label
_atom_site_fract_x
_atom_site_fract_y
_atom_site_fract_z
Pr1 0.0000 0.0000 0.0000
Ho1 0.0000 0.0000 0.5000
Cu1 0.0000 0.5000 0.1560
Se1 0.2444 0.2220 0.3060
```


[8]
PrHoCuSi | PBE | optimized geometry

Output
The calculated volume comes out at 361.0 Å³/cell. Its raw total energy is -5.097 eV/atom. The calculation puts the formation energy without anion corrections at -0.378 eV per atom. Its crystal system is cubic.

Structure (CIF):
```
data_PrHoCuSi
_chemical_formula_sum 'Pr4 Ho4 Cu4 Si4'
_cell_length_a 7.1205
_cell_length_b 7.1205
_cell_length_c 7.1205
_cell_angle_alpha 90.00
_cell_angle_beta 90.00
_cell_angle_gamma 90.00
_symmetry_space_group_name_H-M 'F -4 3 m'
_symmetry_Int_Tables_number 216
_symmetry_space_group_name_Hall 'F -4 2 3'
loop_
_atom_site_label
_atom_site_fract_x
_atom_site_fract_y
_atom_site_fract_z
Pr1 0.0000 0.0000 0.0000
Ho1 0.0000 0.0000 0.5000
Cu1 0.2500 0.2500 0.2500
Si1 0.2500 0.2500 0.7500
```


[9]
PrHo2Cu2Si2 | PBE | optimized geometry

Output
The calculated volume comes out at 440.9 Å³/cell. Its raw total energy is -5.190 eV/atom. The calculation puts the formation energy without anion corrections at -0.479 eV per atom. Its crystal system is trigonal.

Structure (CIF):
```
data_PrHo2Cu2Si2
_chemical_formula_sum 'Pr3 Ho6 Cu6 Si6'
_cell_length_a 4.2432
_cell_length_b 4.2432
_cell_length_c 28.2799
_cell_angle_alpha 90.00
_cell_angle_beta 90.00
_cell_angle_gamma 120.00
_symmetry_space_group_name_H-M 'R -3 m'
_symmetry_Int_Tables_number 166
_symmetry_space_group_name_Hall '-R 3 2"'
loop_
_atom_site_label
_atom_site_fract_x
_atom_site_fract_y
_atom_site_fract_z
Pr1 0.0000 0.0000 0.0000
Ho1 0.0000 0.0000 0.1280
Cu1 0.0000 0.0000 0.4058
Si1 0.0000 0.0000 0.2590
```


[10]
PrHoCu2Si2 | PBE | optimized geometry

Output
The calculated volume comes out at 116.9 Å³/cell. Its raw total energy is -5.375 eV/atom. The calculation puts the formation energy without anion corrections at -0.643 eV per atom. Its crystal system is trigonal.

Structure (CIF):
```
data_PrHoCu2Si2
_chemical_formula_sum 'Pr1 Ho1 Cu2 Si2'
_cell_length_a 4.1949
_cell_length_b 4.1949
_cell_length_c 7.6684
_cell_angle_alpha 90.00
_cell_angle_beta 90.00
_cell_angle_gamma 120.00
_symmetry_space_group_name_H-M 'P -3 m 1'
_symmetry_Int_Tables_number 164
_symmetry_space_group_name_Hall '-P 3 2"'
loop_
_atom_site_label
_atom_site_fract_x
_atom_site_fract_y
_atom_site_fract_z
Pr1 0.0000 0.0000 0.0000
Ho1 0.0000 0.0000 0.5000
Cu1 0.3333 0.6667 0.7286
Si1 0.3333 0.6667 0.2641
```